# 1
18
Lattice="6.372 0.000 0.000 0.000 9.479 0.000 -5.123 0.000 8.919" Properties=species:S:1:pos:R:3 comment="PBE-GGA La6Zn2Rh, relaxed" total_energy_ev_per_cell=-84.04 formation_enthalpy_0k_mev_per_atom=-284 volume_a3_per_atom=29.930 polymorph_energy_mev_per_atom=29 total_magnetization_mub_per_atom=0.00 pbc="T T T"
La -2.080 1.683 4.304
La -4.642 3.056 8.764
La -0.010 6.413 4.041
La -2.572 7.806 8.500
La 1.026 0.289 2.502
La -1.536 4.451 6.962
La 2.784 5.029 1.958
La 0.223 9.190 6.417
La 3.821 1.673 0.419
La 1.259 3.067 4.879
La 5.890 6.423 0.155
La 3.329 7.796 4.615
Zn -3.259 0.937 6.959
Zn -0.698 3.802 2.499
Zn 1.946 5.677 6.420
Zn 4.508 8.542 1.960
Rh 0.000 0.000 0.000
Rh -2.562 4.740 4.460

# 2
8
Lattice="4.239 0.000 0.000 0.000 4.293 0.000 0.000 0.000 8.571" Properties=species:S:1:pos:R:3 comment="PBE-GGA LaZn2Rh, relaxed" total_energy_ev_per_cell=-32.44 formation_enthalpy_0k_mev_per_atom=-348 volume_a3_per_atom=19.492 total_magnetization_mub_per_atom=0.00 pbc="T T T"
La 0.000 0.000 0.000
La 2.119 2.146 4.285
Zn 0.000 2.146 2.125
Zn 0.000 2.146 6.446
Zn 2.119 0.000 2.160
Zn 2.119 0.000 6.410
Rh 0.000 0.000 4.285
Rh 2.119 2.146 0.000

# 3
4
Lattice="3.369 0.000 0.000 0.000 3.369 0.000 0.000 0.000 6.902" Properties=species:S:1:pos:R:3 comment="PBE-GGA LaZn2Rh, relaxed" total_energy_ev_per_cell=-16.10 formation_enthalpy_0k_mev_per_atom=-317 volume_a3_per_atom=19.581 total_magnetization_mub_per_atom=0.00 pbc="T T T"
La 0.000 0.000 0.000
Zn 0.000 0.000 3.136
Zn 1.684 1.684 4.557
Rh 1.684 1.684 1.900